Record 1
Density functional theory data (PBE-GGA) for U2Si3Ir after structural relaxation.

Summary:
As for the formation energy from raw total energies: -0.519 eV/atom. The value obtained for the energy above the lowest structure with this stoichiometry is 3 meV/atom. Its density is 11.2 g/cm3. The calculation puts the total energy at -8.47 eV per atom.

Cell: 7.695 8.223 14.058 Å, 90.00 90.00 90.00°
Space group Fmmm (No. 69)
Unique sites:
U  0.246  0.000  0.000
U  0.250  0.250  0.250
Si  0.000  0.000  0.336
Si  0.000  0.244  0.418
Ir  0.000  0.000  0.165

***

Record 2
Density functional theory data (PBE-GGA) for Pm3DyTm3S8 after structural relaxation.

Summary:
As for the formation energy from raw total energies: -2.042 eV/atom. Its density is 6.6 g/cm3. The calculation puts the total energy at -6.39 eV per atom.

Cell: 7.8187 7.8187 19.4595 Å, 90.00 90.00 120.00°
Space group R-3m (No. 166, hexagonal axes)
Unique sites:
Pm  0.0000  0.5000  0.0000
Dy  0.0000  0.0000  0.5000
Tm  0.0000  0.5000  0.5000
S  0.0000  0.0000  0.2443
S  0.0067  0.5033  0.7541

***

Record 3
Density functional theory data (PBE-GGA) for Ni4Mo after structural relaxation.

Summary:
The value obtained for the energy above the lowest structure with this stoichiometry is 818 meV/atom. Its density is 7.4 g/cm3. The formation energy comes out at 71 kJ/mol of atoms. The calculation puts the total energy at -6.06 eV per atom.

Cell: 8.304 8.304 4.291 Å, 90.00 90.00 90.00°
Space group P4/mbm (No. 127)
Unique sites:
Ni  0.000  0.000  0.235
Ni  0.107  0.393  0.500
Ni  0.110  0.794  0.500
Mo  0.100  0.600  0.000

***

Record 4
Density functional theory data (PBE-GGA) for CaRe2Rh after structural relaxation.

Summary:
The value obtained for the energy above the lowest structure with this stoichiometry is 198 meV/atom. Its density is 12.8 g/cm3. The formation energy comes out at 41 kJ/mol of atoms. The calculation puts the total energy at -8.14 eV per atom.

Cell: 2.716 2.716 9.085 Å, 90.00 90.00 90.00°
Space group P4/mmm (No. 123)
Unique sites:
Ca  0.000  0.000  0.000
Re  0.500  0.500  0.282
Rh  0.000  0.000  0.500

***

Record 5
Density functional theory data (PBE-GGA) for Ag2WBr after structural relaxation.

Summary:
As for the formation energy from raw total energies: 0.611 eV/atom. The value obtained for the energy above the lowest structure with this stoichiometry is 159 meV/atom. Its density is 9.9 g/cm3. The calculation puts the total energy at -4.47 eV per atom.

Cell: 3.009 3.009 8.895 Å, 90.00 90.00 90.00°
Space group P4mm (No. 99)
Unique sites:
Ag  0.000  0.000  0.000
Ag  0.500  0.500  0.224
W  0.500  0.500  0.779
Br  0.000  0.000  0.595

***

Record 6
Density functional theory data (PBE-GGA) for RuAuSe2 after structural relaxation.

Summary:
As for the formation energy from raw total energies: 0.202 eV/atom. Its density is 9.9 g/cm3. The calculation puts the total energy at -4.68 eV per atom.

Cell: 2.959 2.959 8.745 Å, 90.00 90.00 90.00°
Space group P4/mmm (No. 123)
Unique sites:
Ru  0.000  0.000  0.000
Au  0.000  0.000  0.500
Se  0.500  0.500  0.185

***

Record 7
Density functional theory data (PBE-GGA) for AcHoCd2 after structural relaxation.

Summary:
The value obtained for the energy above the lowest structure with this stoichiometry is 184 meV/atom. Its density is 8.1 g/cm3. The formation energy comes out at -10 kJ/mol of atoms. The calculation puts the total energy at -2.73 eV per atom.

Cell: 3.7697 3.7697 30.7927 Å, 90.00 90.00 120.00°
Space group R-3m (No. 166, hexagonal axes)
Unique sites:
Ac  0.0000  0.0000  0.0000
Ho  0.0000  0.0000  0.5000
Cd  0.0000  0.0000  0.2429

***

Record 8
Density functional theory data (PBE-GGA) for KYSi2 after structural relaxation.

Summary:
As for the formation energy from raw total energies: -0.138 eV/atom. The value obtained for the energy above the lowest structure with this stoichiometry is 112 meV/atom. Its density is 2.3 g/cm3. The calculation puts the total energy at -4.74 eV per atom.

Cell: 9.786 3.880 7.195 Å, 90.00 99.75 90.00°
Space group Cm (No. 8)
Unique sites:
K  0.000  0.000  0.000
Y  0.181  0.500  0.464
Si  0.379  0.000  0.336
Si  0.474  0.500  0.519

***

Which formula does entry 6 have? RuAuSe2